Below is GeAsW after structural relaxation, with properties calculated at the GGA-PBE level.

The space group is Pnma (No. 62) and the conventional cell measures 6.715, 3.358 and 8.461 Å, with angles of 90.00, 90.00 and 90.00 degrees. The asymmetric unit holds Ge at (0.123, 0.250, 0.084), As at (0.130, 0.250, 0.408) and W at (0.124, 0.250, 0.749).

The value obtained for the calculated volume is 15.90 Å³ per atom. The magnetization is 0.000 μB/atom. The value obtained for the raw total energy is -86.9 eV/cell. For the relative energy among the computed polymorphs, the calculation gives 0.0 meV/atom.

---

Below is PuTlAgS3 after structural relaxation, with properties calculated at the GGA-PBE level.

The space group is Cmcm (No. 63) and the conventional cell measures 4.089, 13.915 and 10.451 Å, with angles of 90.00, 90.00 and 90.00 degrees. The asymmetric unit holds Pu at (0.000, 0.000, 0.000), Tl at (0.000, 0.265, 0.250), Ag at (0.000, 0.446, 0.750), S at (0.000, 0.061, 0.750) and S at (0.000, 0.375, 0.533).

The value obtained for the calculated volume is 24.78 Å³ per atom. The magnetization is 0.667 μB/atom. The value obtained for the raw total energy is -148.5 eV/cell.

---

Below is Nb7Si6 after structural relaxation, with properties calculated at the GGA-PBE level.

The space group is R-3m (No. 166, hexagonal axes) and the conventional cell measures 5.1020, 5.1020 and 26.8088 Å, with angles of 90.00, 90.00 and 120.00 degrees. The asymmetric unit holds Nb at (0.0000, 0.0000, 0.0000), Nb at (0.0000, 0.0000, 0.1692), Nb at (0.0000, 0.0000, 0.3544), Nb at (0.0000, 0.0000, 0.4530) and Si at (0.0033, 0.5017, 0.4123).

The value obtained for the calculated volume is 15.50 Å³ per atom. The magnetization is 0.000 μB/atom. The value obtained for the raw total energy is -322.9 eV/cell.

---

Below is Ni13Te2 after structural relaxation, with properties calculated at the GGA-PBE level.

The space group is C2/m (No. 12) and the conventional cell measures 8.003, 3.325 and 25.853 Å, with angles of 90.00, 98.84 and 90.00 degrees. The asymmetric unit holds Ni at (0.000, 0.000, 0.000), Ni at (0.070, 0.500, 0.938), Ni at (0.081, 0.500, 0.158), Ni at (0.140, 0.000, 0.876), Ni at (0.145, 0.000, 0.094), Ni at (0.199, 0.500, 0.809), Ni at (0.215, 0.500, 0.031) and Te at (0.026, 0.000, 0.231).

The value obtained for the calculated volume is 22.66 Å³ per atom. The magnetization is 0.385 μB/atom. The value obtained for the raw total energy is -157.8 eV/cell. For the relative energy among the computed polymorphs, the calculation gives 0.0 meV/atom.

---

Below is La2CdIn after structural relaxation, with properties calculated at the GGA-PBE level.

The space group is P6_3/mmc (No. 194) and the conventional cell measures 5.1784, 5.1784 and 10.5436 Å, with angles of 90.00, 90.00 and 120.00 degrees. The asymmetric unit holds La at (0.3333, 0.6667, 0.0984), Cd at (0.0000, 0.0000, 0.2500) and In at (0.3333, 0.6667, 0.7500).

The value obtained for the calculated volume is 30.61 Å³ per atom. The magnetization is 0.000 μB/atom. The value obtained for the raw total energy is -29.1 eV/cell.

---

Below is Na4PdO4 after structural relaxation, with properties calculated at the GGA-PBE level.

The space group is P-1 (No. 2) and the conventional cell measures 5.452, 6.076 and 8.251 Å, with angles of 76.23, 84.91 and 68.48 degrees. The asymmetric unit holds Na at (0.175, 0.360, 0.329), Na at (0.242, 0.980, 0.088), Na at (0.253, 0.531, 0.903), Na at (0.260, 0.763, 0.475), Pd at (0.250, 0.086, 0.731), O at (0.008, 0.703, 0.135), O at (0.043, 0.888, 0.705), O at (0.298, 0.372, 0.594) and O at (0.496, 0.788, 0.866).

The value obtained for the calculated volume is 13.72 Å³ per atom. The value obtained for the raw total energy is -77.9 eV/cell.